A relaxed La3Pm3Er crystal. Source: the Alexandria database, functional PBE.

a = 8.965 Å, b = 8.965 Å, c = 8.965 Å
α = 59.23°, β = 59.23°, γ = 59.23°
Fractional positions:
La (0.698, 0.189, 0.940)
La (0.189, 0.940, 0.698)
La (0.940, 0.698, 0.189)
La (0.060, 0.302, 0.811)
La (0.811, 0.060, 0.302)
La (0.302, 0.811, 0.060)
Pm (0.723, 0.568, 0.067)
Pm (0.067, 0.723, 0.568)
Pm (0.568, 0.067, 0.723)
Pm (0.432, 0.933, 0.277)
Pm (0.933, 0.277, 0.432)
Pm (0.277, 0.432, 0.933)
Er (0.348, 0.348, 0.348)
Er (0.652, 0.652, 0.652)

Calculated values
- energy above the lowest structure with this stoichiometry (meV per atom) = 194
- symmetry = R-3, No. 148
- total energy (eV/cell) = -64.04